Compound: Tb2DyMgS4
Source: Alexandria via LeMat-Bulk
Functional: PBE
Structure: optimized geometry

Lattice parameters (Å, degrees): 3.8368 6.7243 6.7485 109.00 90.00 90.00
Atoms (fractional coordinates):
S 0.0000 0.2421 0.7606
S 0.5000 0.2341 0.2328
S 0.0000 0.7579 0.2394
S 0.5000 0.7659 0.7672
Dy 0.5000 0.5000 0.0000
Mg 0.0000 0.0000 0.0000
Tb 0.0000 0.5000 0.5000
Tb 0.5000 0.0000 0.5000

Computed properties:
**D(E_F)**: 0.3984 states/eV/atom
**DFT total energy**: -5.790 eV/atom
**Raw formation energy**: -41.36 kcal/mol of atoms